The following is a DFT calculation (GGA-PBE) of an optimized crystal structure of B5C7.

Size of the total moment ... 0.0 Bohr magnetons per cell
ΔH_f (0 K) ... 435 meV/atom
Fermi-level density of states ... 0.225 states/eV per atom

Structure (POSCAR):
```
B5C7
1.0
5.9769 0.1269 -1.2150
5.4044 2.5557 -1.2150
0.1167 0.0275 5.3528
B C
5 7
Direct
0.9238 0.9238 0.2087 B
0.3178 0.3178 0.1309 B
0.2607 0.2607 0.4177 B
0.0036 0.0036 0.5127 B
0.6544 0.6544 0.3112 B
0.0056 0.0056 0.9844 C
0.9142 0.9142 0.7279 C
0.5923 0.5923 0.5588 C
0.3392 0.3392 0.6879 C
0.2417 0.2417 0.8658 C
0.6656 0.6656 0.8213 C
0.5810 0.5810 0.0228 C
```

=====

The following is a DFT calculation (GGA-PBE) of an optimized crystal structure of PuNpHgBi.

Size of the total moment ... 11.6 Bohr magnetons per cell
ΔH_f (0 K) ... -16 meV/atom
Fermi-level density of states ... 3.565 states/eV per atom

Structure (POSCAR):
```
PuNpHgBi
1.0
-4.3255 0.0308 3.2164
-2.7880 -4.5416 0.8111
0.1881 -2.4584 4.7935
Np Hg Bi Pu
1 1 1 1
Direct
0.2500 0.2500 0.2500 Np
0.0000 0.0000 0.0000 Hg
0.5000 0.5000 0.5000 Bi
0.7500 0.7500 0.7500 Pu
```

=====

The following is a DFT calculation (GGA-PBE) of an optimized crystal structure of CePr2PbC.

Size of the total moment ... 0.5 Bohr magnetons per cell
ΔH_f (0 K) ... -367 meV/atom
Fermi-level density of states ... 1.330 states/eV per atom

Structure (POSCAR):
```
CePr2PbC
1.0
4.9323 0.0000 0.0000
0.0000 5.2156 0.0000
0.0000 0.0000 5.2156
Ce Pr Pb C
1 2 1 1
Direct
0.5000 0.0000 0.0000 Ce
0.0000 0.0000 0.5000 Pr
0.0000 0.5000 0.0000 Pr
0.5000 0.5000 0.5000 Pb
0.0000 0.0000 0.0000 C
```

=====

Question: Among the records above, which one has the lowest ΔH_f (0 K)?
Answer: CePr2PbC

=====

Question: Which of these has the lowest ΔH_f (0 K)?
Answer: CePr2PbC